1.
Computed, not measured: a crystal of BeSeCl2 relaxed with PBEsol at the meta-GGA SCAN level of DFT.

a b c (Å): 3.461 3.461 7.392
angles (deg): 90.00 90.00 90.00
Space group P4mm (No. 99)
Inequivalent atoms, fractional coordinates:
Be: 0.000 0.000 0.000 (multiplicity 1)
Se: 0.500 0.500 0.082 (multiplicity 1)
Cl: 0.000 0.000 0.750 (multiplicity 1)
Cl: 0.500 0.500 0.377 (multiplicity 1)

Summary:
M_tot ... 0.00 μB/atom
Formation energy (no corrections) ... -0.5540 eV/atom
Energy above the lowest structure with this stoichiometry ... 0.12 eV/f.u.



2.
Computed, not measured: a crystal of NaMgAlIr2 relaxed with PBEsol at the meta-GGA SCAN level of DFT.

a b c (Å): 4.577 4.577 4.267
angles (deg): 90.00 90.00 90.00
Space group P4/mmm (No. 123)
Inequivalent atoms, fractional coordinates:
Na: 0.000 0.000 0.000 (multiplicity 1)
Mg: 0.000 0.000 0.500 (multiplicity 1)
Al: 0.500 0.500 0.000 (multiplicity 1)
Ir: 0.000 0.500 0.500 (multiplicity 2)

Summary:
D(E_F) ... 1.75 states/eV per cell
M_tot ... 0.00 μB/atom
ΔH_f (0 K) ... 983 meV/atom



3.
Computed, not measured: a crystal of TcSe2BrF relaxed with PBEsol at the meta-GGA SCAN level of DFT.

a b c (Å): 4.691 4.691 5.022
angles (deg): 90.00 90.00 90.00
Space group P4/mmm (No. 123)
Inequivalent atoms, fractional coordinates:
Tc: 0.000 0.000 0.000 (multiplicity 1)
Se: 0.000 0.500 0.000 (multiplicity 2)
Br: 0.000 0.000 0.500 (multiplicity 1)
F: 0.500 0.500 0.500 (multiplicity 1)

Summary:
D(E_F) ... 4.05 states/eV per cell
M_tot ... 0.00 μB/atom
Formation energy (no corrections) ... 0.1114 eV/atom



4.
Computed, not measured: a crystal of CeBiW2O9 relaxed with PBEsol at the meta-GGA SCAN level of DFT.

a b c (Å): 10.256 9.754 13.574
angles (deg): 90.00 102.82 90.00
Space group C2/c (No. 15)
Inequivalent atoms, fractional coordinates:
Ce: 0.146 0.019 0.119 (multiplicity 8)
Bi: 0.065 0.414 0.137 (multiplicity 8)
W: 0.071 0.238 0.866 (multiplicity 8)
W: 0.203 0.207 0.381 (multiplicity 8)
O: 0.000 0.113 0.750 (multiplicity 4)
O: 0.000 0.365 0.750 (multiplicity 4)
O: 0.016 0.197 0.381 (multiplicity 8)
O: 0.068 0.385 0.951 (multiplicity 8)
O: 0.078 0.088 0.950 (multiplicity 8)
O: 0.132 0.220 0.631 (multiplicity 8)
O: 0.137 0.383 0.308 (multiplicity 8)
O: 0.213 0.068 0.297 (multiplicity 8)
O: 0.231 0.376 0.496 (multiplicity 8)
O: 0.248 0.248 0.861 (multiplicity 8)

Summary:
D(E_F) ... 24.40 states/eV per cell
M_tot ... 0.08 μB/atom
Formation energy (no corrections) ... -2.4077 eV/atom



5.
Computed, not measured: a crystal of Sm2MnNiO6 relaxed with PBEsol at the meta-GGA SCAN level of DFT.

a b c (Å): 5.269 5.499 9.168
angles (deg): 90.00 124.83 90.00
Space group P2_1/c (No. 14)
Inequivalent atoms, fractional coordinates:
Sm: 0.234 0.063 0.249 (multiplicity 4)
Mn: 0.500 0.000 0.000 (multiplicity 2)
Ni: 0.000 0.000 0.500 (multiplicity 2)
O: 0.164 0.197 0.956 (multiplicity 4)
O: 0.259 0.712 0.954 (multiplicity 4)
O: 0.342 0.020 0.755 (multiplicity 4)

Summary:
D(E_F) ... 0.00 states/eV per cell
M_tot ... 0.50 μB/atom
Formation energy (no corrections) ... -2.9188 eV/atom



6.
Computed, not measured: a crystal of AlZn2Tc relaxed with PBEsol at the meta-GGA SCAN level of DFT.

a b c (Å): 3.741 3.798 8.092
angles (deg): 90.00 90.00 90.00
Space group Cmmm (No. 65)
Inequivalent atoms, fractional coordinates:
Al: 0.000 0.000 0.000 (multiplicity 2)
Zn: 0.000 0.500 0.256 (multiplicity 4)
Tc: 0.000 0.000 0.500 (multiplicity 2)

Summary:
D(E_F) ... 5.11 states/eV per cell
M_tot ... 0.00 μB/atom
ΔH_f (0 K) ... 131 meV/atom